TaAuCl3: relaxed, PBE.

Values from the calculation:
Crystal system   cubic
D(E_F)   4.297 states/eV/cell
Calculated density   7.04 g cm⁻³
Polymorph energy (0 for the lowest one)   0 meV/atom

abc: 4.853 4.853 4.853
angles: 90.00 90.00 90.00
Space group Pm-3m (No. 221)
Unique sites:
Ta 0.000 0.000 0.000 (multiplicity 1)
Au 0.500 0.500 0.500 (multiplicity 1)
Cl 0.000 0.000 0.500 (multiplicity 3)

GdHfZn4: relaxed, PBE.

Values from the calculation:
Crystal system   cubic
D(E_F)   23.147 states/eV/cell
Calculated density   9.18 g cm⁻³
Energy relative to the elements   -1.3 eV per formula unit

abc: 7.561 7.561 7.561
angles: 90.00 90.00 90.00
Space group F-43m (No. 216)
Unique sites:
Gd 0.000 0.000 0.000 (multiplicity 4)
Hf 0.250 0.250 0.750 (multiplicity 4)
Zn 0.124 0.124 0.376 (multiplicity 16)

TmZn17Cd: relaxed, PBE.

Values from the calculation:
Crystal system   trigonal
D(E_F)   13.652 states/eV/cell
Calculated density   7.53 g cm⁻³
Energy relative to the elements   -1.6 eV per formula unit

abc: 8.9221 8.9221 13.3770
angles: 90.00 90.00 120.00
Space group R3m (No. 160, hexagonal axes)
Unique sites:
Tm 0.0000 0.0000 0.0000 (multiplicity 3)
Zn 0.0000 0.0000 0.5631 (multiplicity 3)
Zn 0.0000 0.0000 0.7626 (multiplicity 3)
Zn 0.0015 0.5008 0.8165 (multiplicity 9)
Zn 0.0286 0.3542 0.3338 (multiplicity 18)
Zn 0.1673 0.3346 0.8416 (multiplicity 9)
Zn 0.1698 0.3395 0.5061 (multiplicity 9)
Cd 0.0000 0.0000 0.2668 (multiplicity 3)

Na2Sb8S13O2: relaxed, PBE.

Values from the calculation:
Crystal system   monoclinic
D(E_F)   29.460 states/eV/cell
Calculated density   3.55 g cm⁻³
E   -0.152 hartree per atom

abc: 9.900 23.991 7.551
angles: 90.00 129.91 90.00
Space group Cm (No. 8)
Unique sites:
Na 0.000 0.083 0.000 (multiplicity 4)
Sb 0.033 0.332 0.460 (multiplicity 4)
Sb 0.371 0.090 0.740 (multiplicity 4)
Sb 0.434 0.332 0.460 (multiplicity 4)
Sb 0.456 0.253 0.916 (multiplicity 4)
S 0.050 0.075 0.458 (multiplicity 4)
S 0.134 0.175 0.895 (multiplicity 4)
S 0.204 0.393 0.400 (multiplicity 4)
S 0.258 0.229 0.508 (multiplicity 4)
S 0.259 0.325 0.895 (multiplicity 4)
S 0.413 0.075 0.456 (multiplicity 4)
S 0.470 0.000 0.941 (multiplicity 2)
O 0.101 0.000 0.973 (multiplicity 2)
O 0.377 0.500 0.984 (multiplicity 2)

La2Be2In: relaxed, PBE.

Values from the calculation:
Crystal system   tetragonal
D(E_F)   8.875 states/eV/cell
Calculated density   5.35 g cm⁻³
Energy relative to the elements   1.6 eV per formula unit
Polymorph energy (0 for the lowest one)   387 meV/atom

abc: 8.764 8.764 3.318
angles: 90.00 90.00 90.00
Space group P4/mbm (No. 127)
Unique sites:
La 0.185 0.315 0.000 (multiplicity 4)
Be 0.091 0.591 0.500 (multiplicity 4)
In 0.000 0.000 0.000 (multiplicity 2)

Na2MgZrI: relaxed, PBE.

Values from the calculation:
Crystal system   tetragonal
D(E_F)   6.128 states/eV/cell
Calculated density   1.99 g cm⁻³
E   -0.075 hartree per atom

abc: 6.457 6.457 5.767
angles: 90.00 90.00 90.00
Space group P4/mmm (No. 123)
Unique sites:
Na 0.000 0.500 0.000 (multiplicity 2)
Mg 0.000 0.000 0.500 (multiplicity 1)
Zr 0.000 0.000 0.000 (multiplicity 1)
I 0.500 0.500 0.500 (multiplicity 1)

Rb2HfPI6: relaxed, PBE.

Values from the calculation:
Crystal system   tetragonal
D(E_F)   0.000 states/eV/cell
Calculated density   3.92 g cm⁻³
E   -0.123 hartree per atom

abc: 8.808 8.808 12.476
angles: 90.00 90.00 90.00
Space group I4/mmm (No. 139)
Unique sites:
Rb 0.000 0.500 0.250 (multiplicity 4)
Hf 0.000 0.000 0.000 (multiplicity 2)
P 0.000 0.000 0.500 (multiplicity 2)
I 0.000 0.000 0.230 (multiplicity 4)
I 0.230 0.230 0.000 (multiplicity 8)

SiTe2Ir: relaxed, PBE.

Values from the calculation:
Crystal system   monoclinic
D(E_F)   1.819 states/eV/cell
Calculated density   8.67 g cm⁻³
E   -0.175 hartree per atom

abc: 2.990 3.940 7.735
angles: 90.00 90.29 90.00
Space group P2/m (No. 10)
Unique sites:
Si 0.000 0.000 0.000 (multiplicity 1)
Te 0.001 0.500 0.729 (multiplicity 2)
Ir 0.000 0.000 0.500 (multiplicity 1)

TiW3Au: relaxed, PBE.

Values from the calculation:
Crystal system   cubic
D(E_F)   4.837 states/eV/cell
Calculated density   13.93 g cm⁻³
Energy relative to the elements   9.2 eV per formula unit
Polymorph energy (0 for the lowest one)   0 meV/atom

abc: 4.562 4.562 4.562
angles: 90.00 90.00 90.00
Space group Pm-3m (No. 221)
Unique sites:
Ti 0.000 0.000 0.000 (multiplicity 1)
W 0.000 0.000 0.500 (multiplicity 3)
Au 0.500 0.500 0.500 (multiplicity 1)

La4ZrOs: relaxed, PBE.

Values from the calculation:
Crystal system   cubic
D(E_F)   39.661 states/eV/cell
Calculated density   8.26 g cm⁻³
Energy relative to the elements   5.6 eV per formula unit

abc: 8.763 8.763 8.763
angles: 90.00 90.00 90.00
Space group F-43m (No. 216)
Unique sites:
La 0.123 0.123 0.123 (multiplicity 16)
Zr 0.000 0.000 0.500 (multiplicity 4)
Os 0.250 0.250 0.750 (multiplicity 4)

Tb5PmY6: relaxed, PBE.

Values from the calculation:
Crystal system   monoclinic
D(E_F)   36.472 states/eV/cell
Calculated density   6.32 g cm⁻³
Energy relative to the elements   0.2 eV per formula unit
Polymorph energy (0 for the lowest one)   3 meV/atom

abc: 11.854 10.728 6.183
angles: 90.00 100.11 90.00
Space group C2/m (No. 12)
Unique sites:
Tb 0.000 0.000 0.000 (multiplicity 2)
Tb 0.000 0.166 0.500 (multiplicity 4)
Tb 0.000 0.332 0.000 (multiplicity 4)
Pm 0.000 0.500 0.500 (multiplicity 2)
Y 0.250 0.000 0.750 (multiplicity 4)
Y 0.250 0.167 0.250 (multiplicity 8)

Pr8Ir3Br4N: relaxed, PBE.

Values from the calculation:
Crystal system   monoclinic
D(E_F)   20.991 states/eV/cell
Calculated density   7.42 g cm⁻³
E   -0.223 hartree per atom

abc: 14.246 8.196 9.150
angles: 90.00 121.40 90.00
Space group C2/m (No. 12)
Unique sites:
Pr 0.016 0.235 0.313 (multiplicity 8)
Pr 0.222 0.000 0.689 (multiplicity 4)
Pr 0.233 0.500 0.699 (multiplicity 4)
Ir 0.000 0.500 0.500 (multiplicity 2)
Ir 0.250 0.250 0.500 (multiplicity 4)
Br 0.000 0.000 0.000 (multiplicity 2)
Br 0.000 0.500 0.000 (multiplicity 2)
Br 0.250 0.250 0.000 (multiplicity 4)
N 0.000 0.000 0.500 (multiplicity 2)

ReTe2Se: relaxed, PBE.

Values from the calculation:
Crystal system   tetragonal
D(E_F)   2.039 states/eV/cell
Calculated density   9.33 g cm⁻³
E   -0.190 hartree per atom

abc: 3.167 3.167 9.236
angles: 90.00 90.00 90.00
Space group P4/mmm (No. 123)
Unique sites:
Re 0.000 0.000 0.000 (multiplicity 1)
Te 0.500 0.500 0.188 (multiplicity 2)
Se 0.000 0.000 0.500 (multiplicity 1)

BaHgGe: relaxed, PBE.

Values from the calculation:
Crystal system   orthorhombic
D(E_F)   0.839 states/eV/cell
Calculated density   6.43 g cm⁻³
Energy relative to the elements   -1.0 eV per formula unit

abc: 10.931 6.646 5.842
angles: 90.00 90.00 90.00
Space group Pnma (No. 62)
Unique sites:
Ba 0.171 0.250 0.082 (multiplicity 4)
Hg 0.000 0.000 0.500 (multiplicity 4)
Ge 0.101 0.750 0.199 (multiplicity 4)

Mg4In7Ga: relaxed, PBE.

Values from the calculation:
Crystal system   triclinic
D(E_F)   4.366 states/eV/cell
Calculated density   5.57 g cm⁻³
Energy relative to the elements   -0.5 eV per formula unit

abc: 4.613 5.638 12.398
angles: 91.45 99.78 113.74
Space group P-1 (No. 2)
Unique sites:
Mg 0.006 0.350 0.160 (multiplicity 2)
Mg 0.254 0.596 0.415 (multiplicity 2)
In 0.000 0.000 0.500 (multiplicity 1)
In 0.249 0.239 0.755 (multiplicity 2)
In 0.255 0.927 0.082 (multiplicity 2)
In 0.482 0.800 0.665 (multiplicity 2)
Ga 0.500 0.500 0.000 (multiplicity 1)

Li2SbBr5: relaxed, PBE.

Values from the calculation:
Crystal system   monoclinic
Calculated density   3.64 g cm⁻³
E   -0.112 hartree per atom

abc: 12.721 5.848 8.734
angles: 90.00 131.26 90.00
Space group C2 (No. 5)
Unique sites:
Li 0.171 0.000 0.058 (multiplicity 4)
Sb 0.000 0.055 0.500 (multiplicity 2)
Br 0.000 0.506 0.500 (multiplicity 2)
Br 0.085 0.040 0.275 (multiplicity 4)
Br 0.223 0.549 0.120 (multiplicity 4)

Pt2C: relaxed, PBE.

Values from the calculation:
Crystal system   orthorhombic
D(E_F)   3.666 states/eV/cell
Calculated density   16.01 g cm⁻³
Energy relative to the elements   1.7 eV per formula unit
Polymorph energy (0 for the lowest one)   0 meV/atom

abc: 5.752 3.226 8.990
angles: 90.00 90.00 90.00
Space group Pnma (No. 62)
Unique sites:
Pt 0.072 0.250 0.113 (multiplicity 4)
Pt 0.086 0.750 0.382 (multiplicity 4)
C 0.250 0.250 0.678 (multiplicity 4)

Al2SiTe: relaxed, PBE.

Values from the calculation:
Crystal system   tetragonal
D(E_F)   3.175 states/eV/cell
Calculated density   3.96 g cm⁻³
Polymorph energy (0 for the lowest one)   387 meV/atom

abc: 5.581 5.581 5.643
angles: 90.00 90.00 90.00
Space group I4/mmm (No. 139)
Unique sites:
Al 0.000 0.500 0.000 (multiplicity 4)
Si 0.000 0.000 0.000 (multiplicity 2)
Te 0.000 0.000 0.500 (multiplicity 2)

SmHoIrPb: relaxed, PBE.

Values from the calculation:
Crystal system   cubic
D(E_F)   14.730 states/eV/cell
Calculated density   12.09 g cm⁻³
Energy relative to the elements   -1.8 eV per formula unit
Polymorph energy (0 for the lowest one)   205 meV/atom

abc: 7.323 7.323 7.323
angles: 90.00 90.00 90.00
Space group F-43m (No. 216)
Unique sites:
Sm 0.000 0.000 0.000 (multiplicity 4)
Ho 0.000 0.000 0.500 (multiplicity 4)
Ir 0.250 0.250 0.750 (multiplicity 4)
Pb 0.250 0.250 0.250 (multiplicity 4)

Ac2NdSn: relaxed, PBE.

Values from the calculation:
Crystal system   trigonal
D(E_F)   19.787 states/eV/cell
Calculated density   7.76 g cm⁻³
Energy relative to the elements   0.2 eV per formula unit
Polymorph energy (0 for the lowest one)   414 meV/atom

abc: 3.7433 3.7433 37.9490
angles: 90.00 90.00 120.00
Space group R-3m (No. 166, hexagonal axes)
Unique sites:
Ac 0.0000 0.0000 0.0944 (multiplicity 6)
Nd 0.0000 0.0000 0.0000 (multiplicity 3)
Sn 0.0000 0.0000 0.5000 (multiplicity 3)

Tl15Hg4Bi: relaxed, PBE.

Values from the calculation:
Crystal system   tetragonal
D(E_F)   9.534 states/eV/cell
Calculated density   11.28 g cm⁻³
Energy relative to the elements   0.2 eV per formula unit

abc: 4.953 4.953 24.473
angles: 90.00 90.00 90.00
Space group P4/mmm (No. 123)
Unique sites:
Tl 0.000 0.000 0.000 (multiplicity 1)
Tl 0.000 0.000 0.202 (multiplicity 2)
Tl 0.000 0.000 0.399 (multiplicity 2)
Tl 0.000 0.500 0.101 (multiplicity 4)
Tl 0.000 0.500 0.301 (multiplicity 4)
Tl 0.000 0.500 0.500 (multiplicity 2)
Hg 0.500 0.500 0.203 (multiplicity 2)
Hg 0.500 0.500 0.399 (multiplicity 2)
Bi 0.500 0.500 0.000 (multiplicity 1)

AlFe5Ni6: relaxed, PBE.

Values from the calculation:
Crystal system   orthorhombic
D(E_F)   16.003 states/eV/cell
Calculated density   7.99 g cm⁻³
Energy relative to the elements   -1.8 eV per formula unit

abc: 3.590 7.126 10.704
angles: 90.00 90.00 90.00
Space group Immm (No. 71)
Unique sites:
Al 0.000 0.000 0.000 (multiplicity 2)
Fe 0.000 0.000 0.334 (multiplicity 4)
Fe 0.000 0.500 0.000 (multiplicity 2)
Fe 0.000 0.500 0.326 (multiplicity 4)
Ni 0.000 0.249 0.168 (multiplicity 8)
Ni 0.000 0.251 0.500 (multiplicity 4)